Entry 1:
First-principles (GGA-PBE) data for a relaxed structure of ReB2Mo, as listed in Alexandria via LeMat-Bulk.

The structure in POSCAR format:
```
ReB2Mo
1.0
-1.258 -3.693 0.363
0.463 -1.903 3.393
-3.114 -0.797 2.240
B Mo Re
2 1 1
direct
0.250 0.250 0.250
0.750 0.750 0.750
0.000 0.000 0.000
0.500 0.500 0.500
```

Properties
Space group: Fm-3m (225)
Offset from the most stable computed form in eV per atom: 0.4223
ΔH_f (0 K) in meV per atom: 249
Magnetization in μB/atom: 0.00

---

Entry 2:
First-principles (GGA-PBE) data for a relaxed structure of Y5As4N, as listed in Alexandria via LeMat-Bulk.

The structure in POSCAR format:
```
Y5As4N
1.0
-3.166 4.852 -0.385
-4.772 0.756 4.986
2.633 5.461 3.383
As Y N
4 5 1
direct
0.410 0.395 0.791
0.597 0.605 0.209
0.202 0.209 0.395
0.806 0.791 0.605
0.094 0.631 0.181
0.443 0.000 0.000
0.907 0.369 0.819
0.726 0.181 0.369
0.276 0.819 0.631
0.050 0.000 0.000
```

Properties
Space group: I4 (79)
Formation energy without anion corrections in eV per atom: -1.45
Magnetization in μB/atom: 0.00

---

Entry 3:
First-principles (GGA-PBE) data for a relaxed structure of CrRuPt2, as listed in Alexandria via LeMat-Bulk.

The structure in POSCAR format:
```
CrRuPt2
1.0
-1.840 -4.187 -1.352
1.885 -3.570 2.540
-1.992 4.149 1.249
Pt Ru Cr
2 1 1
direct
0.000 0.000 0.000
0.500 0.500 0.000
0.750 0.250 0.500
0.250 0.750 0.500
```

Properties
Space group: I4/mmm (139)
ΔH_f (0 K) in meV per atom: -109
Magnetization in μB/atom: 0.43

---

Entry 4:
First-principles (GGA-PBE) data for a relaxed structure of Sc2ZnCo, as listed in Alexandria via LeMat-Bulk.

The structure in POSCAR format:
```
Sc2ZnCo
1.0
7.250 0.000 0.000
0.000 7.250 0.000
3.625 3.625 2.764
Sc Co Zn
4 2 2
direct
0.578 0.125 0.250
0.875 0.828 0.750
0.375 0.422 0.750
0.172 0.625 0.250
0.500 0.500 0.000
0.250 0.750 0.500
0.000 0.000 0.000
0.750 0.250 0.500
```

Properties
Space group: I-42d (122)
ΔH_f (0 K) in meV per atom: 70
Magnetization in μB/atom: 0.24

---

Entry 5:
First-principles (GGA-PBE) data for a relaxed structure of Na5NdHg6, as listed in Alexandria via LeMat-Bulk.

The structure in POSCAR format:
```
Na5NdHg6
1.0
5.146 -0.030 1.560
0.040 7.436 0.013
-0.121 -0.013 8.172
Hg Na Nd
6 5 1
direct
0.500 0.762 0.000
0.500 0.238 0.000
0.116 0.259 0.668
0.116 0.741 0.668
0.884 0.259 0.332
0.884 0.741 0.332
0.639 0.000 0.656
0.361 0.000 0.344
0.000 0.500 0.000
0.620 0.500 0.675
0.380 0.500 0.325
0.000 0.000 0.000
```

Properties
Space group: P2/m (10)
ΔH_f (0 K) in meV per atom: -271
Magnetization in μB/atom: 0.00

---

Entry 6:
First-principles (GGA-PBE) data for a relaxed structure of Dy5In4Pd2, as listed in Alexandria via LeMat-Bulk.

The structure in POSCAR format:
```
Dy5In4Pd2
1.0
3.657 0.000 0.000
0.000 8.082 0.000
0.000 0.000 18.259
Dy In Pd
10 8 4
direct
0.000 0.257 0.719
0.000 0.743 0.281
0.000 0.883 0.583
0.000 0.617 0.083
0.000 0.243 0.219
0.000 0.117 0.417
0.000 0.383 0.917
0.000 0.757 0.781
0.000 0.000 0.000
0.000 0.500 0.500
0.500 0.077 0.851
0.500 0.423 0.351
0.500 0.709 0.932
0.500 0.291 0.068
0.500 0.923 0.149
0.500 0.209 0.568
0.500 0.791 0.432
0.500 0.577 0.649
0.500 0.028 0.304
0.500 0.472 0.804
0.500 0.528 0.196
0.500 0.972 0.696
```

Properties
Space group: Pbam (55)
ΔH_f (0 K) in meV per atom: -692
Magnetization in μB/atom: 0.00

---

Entry 7:
First-principles (GGA-PBE) data for a relaxed structure of Co5Mo2H2, as listed in Alexandria via LeMat-Bulk.

The structure in POSCAR format:
```
Co5Mo2H2
1.0
-1.604 -3.016 1.161
4.060 -0.740 -1.921
2.043 0.972 5.349
Co H Mo
5 2 2
direct
0.138 0.275 0.428
0.000 0.000 0.000
0.288 0.576 0.861
0.862 0.725 0.572
0.712 0.424 0.139
0.195 0.390 0.138
0.805 0.610 0.862
0.573 0.146 0.717
0.427 0.854 0.283
```

Properties
Space group: C2/m (12)
Raw total energy in eV per atom: -7.069
Magnetization in μB/atom: 0.07

---

Entry 8:
First-principles (GGA-PBE) data for a relaxed structure of Ba2CeH, as listed in Alexandria via LeMat-Bulk.

The structure in POSCAR format:
```
Ba2CeH
1.0
3.864 0.000 0.000
1.932 3.347 0.000
1.932 1.116 10.670
Ba Ce H
2 1 1
direct
0.114 0.114 0.658
0.886 0.886 0.342
0.000 0.000 0.000
0.500 0.500 0.500
```

Properties
Space group: R-3m (166)
Raw total energy in eV per atom: -3.067
Magnetization in μB/atom: 0.64